# 1
Material: VF5
Method: DFT, meta-GGA SCAN
State: PBEsol geometry

* formation energy (no corrections): -2.8118 eV/atom
* symmetry: Cmce

POSCAR file:
```
VF5
1.0
4.341 -3.761 0.000
4.341 3.761 0.000
0.000 0.000 11.207
V F
4 20
Direct
0.170 0.830 0.916 V
0.330 0.670 0.416 V
0.670 0.330 0.584 V
0.830 0.170 0.084 V
0.012 0.988 0.802 F
0.063 0.625 0.361 F
0.125 0.563 0.861 F
0.136 0.136 0.000 F
0.214 0.786 0.551 F
0.286 0.714 0.051 F
0.364 0.364 0.500 F
0.375 0.937 0.361 F
0.437 0.875 0.861 F
0.488 0.512 0.302 F
0.512 0.488 0.698 F
0.563 0.125 0.139 F
0.625 0.063 0.639 F
0.636 0.636 0.500 F
0.714 0.286 0.949 F
0.786 0.214 0.449 F
0.864 0.864 0.000 F
0.875 0.437 0.139 F
0.937 0.375 0.639 F
0.988 0.012 0.198 F
```

=====

# 2
Material: TaFePt2
Method: DFT, meta-GGA SCAN
State: PBEsol geometry

* E above lowest polymorph: 1.48 eV/f.u.
* ΔE_f: -0.373 eV/atom
* symmetry: C2/m

POSCAR file:
```
TaFePt2
1.0
4.549 -1.399 0.000
4.549 1.399 0.000
-0.896 0.000 4.585
Ta Fe Pt
1 1 2
Direct
0.000 0.000 0.000 Ta
0.500 0.500 0.500 Fe
0.245 0.245 0.743 Pt
0.755 0.755 0.257 Pt
```

=====

What did the first record say?
Material: VF5
Method: DFT, meta-GGA SCAN
State: PBEsol geometry

* formation energy (no corrections): -2.8118 eV/atom
* symmetry: Cmce

POSCAR file:
```
VF5
1.0
4.341 -3.761 0.000
4.341 3.761 0.000
0.000 0.000 11.207
V F
4 20
Direct
0.170 0.830 0.916 V
0.330 0.670 0.416 V
0.670 0.330 0.584 V
0.830 0.170 0.084 V
0.012 0.988 0.802 F
0.063 0.625 0.361 F
0.125 0.563 0.861 F
0.136 0.136 0.000 F
0.214 0.786 0.551 F
0.286 0.714 0.051 F
0.364 0.364 0.500 F
0.375 0.937 0.361 F
0.437 0.875 0.861 F
0.488 0.512 0.302 F
0.512 0.488 0.698 F
0.563 0.125 0.139 F
0.625 0.063 0.639 F
0.636 0.636 0.500 F
0.714 0.286 0.949 F
0.786 0.214 0.449 F
0.864 0.864 0.000 F
0.875 0.437 0.139 F
0.937 0.375 0.639 F
0.988 0.012 0.198 F
```